Here is crystalline Ca4Hg2H at its relaxed geometry from Alexandria via LeMat-Bulk. Energies are from PBE.

The value obtained for the raw total energy is -2.11 eV/atom. The density of states at the Fermi level is 9.03 states/eV/cell.

The space group is I4/mmm (No. 139) and the conventional cell measures 4.736, 4.736 and 16.966 Å, with angles of 90.00, 90.00 and 90.00 degrees. The inequivalent atoms are Ca at (0.000, 0.000, 0.183), Ca at (0.000, 0.500, 0.000), Hg at (0.000, 0.000, 0.369) and H at (0.000, 0.000, 0.000).